(1)
ScAs2Pb2, relaxed, DFT PBE; magnetization = 0.000 μB per atom; E_tot = -4.890 eV per atom; density = 7.9 Mg/m³; DFT formation energy = -1.401 eV per formula unit
1.0
7.0287 0.0000 0.0000
0.0000 7.0287 0.0000
0.0000 0.0000 5.1653
Pb Sc As
4 2 4
direct
0.1989 0.6989 0.5000
0.6989 0.8011 0.5000
0.8011 0.3011 0.5000
0.3011 0.1989 0.5000
0.0000 0.0000 0.0000
0.5000 0.5000 0.0000
0.3693 0.8693 0.0000
0.8693 0.6307 0.0000
0.6307 0.1307 0.0000
0.1307 0.3693 0.0000

(2)
NaGaI4, relaxed, DFT PBE; raw formation energy = -0.753 eV/atom; magnetization = 0.000 μB per atom; E_tot = -2.511 eV per atom; density = 3.6 Mg/m³
1.0
-6.5799 -3.6918 0.4671
2.2457 -6.3291 -3.4702
2.5845 -4.1649 8.5830
Na Ga I
2 2 8
direct
0.5000 0.0000 0.5000
0.0000 0.5000 0.0000
0.1494 0.8506 0.2500
0.8506 0.1494 0.7500
0.1808 0.2036 0.7697
0.2838 0.6810 0.4627
0.7162 0.3190 0.5373
0.2036 0.1808 0.2697
0.7964 0.8192 0.7303
0.3190 0.7162 0.0373
0.6810 0.2838 0.9627
0.8192 0.7964 0.2303

(3)
TlPOs2, relaxed, DFT PBE; magnetization = 0.000 μB per atom; E_tot = -6.605 eV per atom; distance to the lowest polymorph of the same formula = 216 kJ/mol of formula units; density = 16.3 Mg/m³; DFT formation energy = 3.814 eV per formula unit
1.0
3.8191 -1.9074 1.2960
2.6397 2.0675 2.9429
0.4004 -1.5989 4.1457
P Tl Os
1 1 2
direct
0.0000 0.0000 0.0000
0.5000 0.5000 0.5000
0.2500 0.2500 0.2500
0.7500 0.7500 0.7500

(4)
InCu2AuSe4, relaxed, DFT PBE; raw formation energy = -0.232 eV/atom; magnetization = 0.000 μB per atom; E_tot = -3.750 eV per atom; density = 6.4 Mg/m³
1.0
5.7837 0.2397 0.0000
-0.2409 5.7837 0.0000
-2.7714 -3.0117 5.8183
In Cu Au Se
1 2 1 4
direct
0.5002 0.5002 0.0003
0.7501 0.2501 0.5002
0.2501 0.7501 0.5002
0.9999 0.9999 0.9998
0.6153 0.6153 0.7193
0.3845 0.8962 0.2807
0.8962 0.3845 0.2807
0.1040 0.1040 0.7193

Q: density of number 1 (ScAs2Pb2)?
A: 7.9 Mg/m³

Please write out number 1 again, unchanged.
ScAs2Pb2, relaxed, DFT PBE; magnetization = 0.000 μB per atom; E_tot = -4.890 eV per atom; density = 7.9 Mg/m³; DFT formation energy = -1.401 eV per formula unit
1.0
7.0287 0.0000 0.0000
0.0000 7.0287 0.0000
0.0000 0.0000 5.1653
Pb Sc As
4 2 4
direct
0.1989 0.6989 0.5000
0.6989 0.8011 0.5000
0.8011 0.3011 0.5000
0.3011 0.1989 0.5000
0.0000 0.0000 0.0000
0.5000 0.5000 0.0000
0.3693 0.8693 0.0000
0.8693 0.6307 0.0000
0.6307 0.1307 0.0000
0.1307 0.3693 0.0000

Q: Which formula does entry 2 have?
A: NaGaI4